NiBiAu2: optimized geometry, PBE-GGA.

Results
VASP energy	-15.72	eV for the cell shown
Fermi-level density of states	2.2	states/eV/cell
total magnetization	0.0	Bohr magnetons per cell

a = 3.2487 Å, b = 3.2487 Å, c = 7.3015 Å
α = 90.00°, β = 90.00°, γ = 90.00°
Closest atoms and distances in Å follow each position.
Positions (direct):
Ni 0.0000 0.0000 0.0000  8 Au 2.71
Bi 0.0000 0.0000 0.5000  8 Au 3.19, 4 Bi 3.25
Au 0.5000 0.5000 0.1960  4 Ni 2.71, 1 Au 2.86
Au 0.5000 0.5000 0.8040  4 Ni 2.71, 1 Au 2.86

=====

TmCoC: optimized geometry, PBE-GGA.

Results
ΔE to the lowest computed polymorph	0.0838	eV/atom
VASP energy	-43.25	eV for the cell shown
Fermi-level density of states	3.2	states/eV/cell
total magnetization	0.0	Bohr magnetons per cell

a = 4.9433 Å, b = 4.9433 Å, c = 5.6230 Å
α = 107.46°, β = 107.46°, γ = 39.69°
Closest atoms and distances in Å follow each position.
Positions (direct):
Tm 0.1014 0.1014 0.3168  3 C 2.41-2.51
Tm 0.8986 0.8986 0.6832  3 C 2.41-2.51
Co 0.3333 0.3333 0.1208  3 C 1.92-1.93
Co 0.6667 0.6667 0.8792  3 C 1.92-1.93
C 0.2202 0.2202 0.7662  3 Co 1.92-1.93
C 0.7798 0.7798 0.2338  3 Co 1.92-1.93

=====

Li2LaSc: optimized geometry, PBE-GGA.

Results
ΔE to the lowest computed polymorph	0.3021	eV/atom
VASP energy	-26.96	eV for the cell shown
Fermi-level density of states	11.3	states/eV/cell
total magnetization	0.0	Bohr magnetons per cell

a = 11.7677 Å, b = 11.7677 Å, c = 11.7677 Å
α = 158.39°, β = 158.39°, γ = 30.75°
Closest atoms and distances in Å follow each position.
Positions (direct):
Li 0.0822 0.6250 0.9572  2 Li 2.87, 2 Sc 3.18
Li 0.3750 0.3322 0.4572  2 Li 2.87, 2 Sc 3.18
Li 0.6678 0.1250 0.0428  2 Li 2.87, 2 Sc 3.18
Li 0.8750 0.9178 0.5428  2 Li 2.87, 2 Sc 3.18
La 0.2500 0.7500 0.5000  4 Sc 3.12, 4 Li 3.31
La 0.5000 0.5000 0.0000  4 Sc 3.12, 4 Li 3.31
Sc 0.0000 0.0000 0.0000  4 La 3.12, 4 Li 3.18
Sc 0.7500 0.2500 0.5000  4 La 3.12, 4 Li 3.18

=====

ScTlCdAg2: optimized geometry, PBE-GGA.

Results
VASP energy	-11.98	eV for the cell shown
Fermi-level density of states	4.2	states/eV/cell
total magnetization	0.8	Bohr magnetons per cell

a = 5.1874 Å, b = 5.1874 Å, c = 5.3565 Å
α = 90.00°, β = 90.00°, γ = 90.00°
Closest atoms and distances in Å follow each position.
Positions (direct):
Sc 0.0000 0.0000 0.0000  4 Cd 3.67, 8 Ag 3.73
Tl 0.5000 0.5000 0.5000  4 Ag 2.59, 2 Cd 2.68
Cd 0.5000 0.5000 0.0000  2 Tl 2.68
Ag 0.0000 0.5000 0.5000  2 Tl 2.59
Ag 0.5000 0.0000 0.5000  2 Tl 2.59